Entry from the Alexandria database: a geometry-optimized Fe6NiPd8 structure (PBE).

The structure belongs to space group R-3 (No. 148, hexagonal axes); the cell edges are 7.0493, 7.0493 and 15.6887 Å and the angles 90.00°, 90.00° and 120.00°. The inequivalent atoms are Fe at (0.0047, 0.7030, 0.3715), Ni at (0.0000, 0.0000, 0.0000), Pd at (0.0000, 0.0000, 0.2629) and Pd at (0.0192, 0.2872, 0.1246).

For the density of states at the Fermi level, the calculation gives 37.16 states/eV/cell. The relative energy among the computed polymorphs comes out at 0.0 meV/atom.


Entry from the Alexandria database: a geometry-optimized Fe3NiPd6 structure (PBE).

The structure belongs to space group P2_1/m (No. 11); the cell edges are 7.2055, 4.4001 and 9.4937 Å and the angles 90.00°, 109.65° and 90.00°. The inequivalent atoms are Fe at (0.1022, 0.2500, 0.2359), Fe at (0.2961, 0.2500, 0.0316), Fe at (0.3063, 0.7500, 0.3715), Ni at (0.1000, 0.7500, 0.5654), Pd at (0.0812, 0.2500, 0.7200), Pd at (0.1007, 0.7500, 0.0727), Pd at (0.2867, 0.2500, 0.5259), Pd at (0.2874, 0.7500, 0.8616), Pd at (0.4948, 0.2500, 0.3314) and Pd at (0.4993, 0.2500, 0.8378).

For the density of states at the Fermi level, the calculation gives 19.60 states/eV/cell. The relative energy among the computed polymorphs comes out at 0.0 meV/atom.


Entry from the Alexandria database: a geometry-optimized FeNi5Pd2 structure (PBE).

The structure belongs to space group I4/mmm (No. 139); the cell edges are 3.6976, 3.6976 and 14.3133 Å and the angles 90.00°, 90.00° and 90.00°. The inequivalent atoms are Fe at (0.0000, 0.0000, 0.0000), Ni at (0.0000, 0.0000, 0.5000), Ni at (0.0000, 0.5000, 0.1155) and Pd at (0.0000, 0.0000, 0.2520).

For the density of states at the Fermi level, the calculation gives 15.39 states/eV/cell. The relative energy among the computed polymorphs comes out at 0.0 meV/atom.


Entry from the Alexandria database: a geometry-optimized Fe2Ni3Pd3 structure (PBE).

The structure belongs to space group Pmmm (No. 47); the cell edges are 3.7017, 3.7683 and 7.4850 Å and the angles 90.00°, 90.00° and 90.00°. The inequivalent atoms are Fe at (0.0000, 0.0000, 0.2392), Ni at (0.0000, 0.5000, 0.0000), Ni at (0.0000, 0.5000, 0.5000), Ni at (0.5000, 0.0000, 0.0000), Pd at (0.5000, 0.0000, 0.5000) and Pd at (0.5000, 0.5000, 0.2410).

For the density of states at the Fermi level, the calculation gives 5.25 states/eV/cell.


Entry from the Alexandria database: a geometry-optimized Fe2Ni3Pd8 structure (PBE).

The structure belongs to space group C2/m (No. 12); the cell edges are 11.0874, 7.0043 and 5.0629 Å and the angles 90.00°, 96.53° and 90.00°. The inequivalent atoms are Fe at (0.1924, 0.0000, 0.2694), Ni at (0.0000, 0.0000, 0.5000), Ni at (0.0000, 0.1682, 0.0000), Pd at (0.1010, 0.5000, 0.8970), Pd at (0.1200, 0.3092, 0.4321) and Pd at (0.1906, 0.0000, 0.7896).

For the density of states at the Fermi level, the calculation gives 28.77 states/eV/cell. The relative energy among the computed polymorphs comes out at 0.0 meV/atom.


Entry from the Alexandria database: a geometry-optimized Fe4Ni5Pd4 structure (PBE).

The structure belongs to space group I4/m (No. 87); the cell edges are 9.5030, 9.5030 and 3.6845 Å and the angles 90.00°, 90.00° and 90.00°. The inequivalent atoms are Fe at (0.1416, 0.2220, 0.0000), Ni at (0.0000, 0.0000, 0.0000), Ni at (0.0454, 0.8199, 0.5000) and Pd at (0.0882, 0.6254, 0.0000).

For the density of states at the Fermi level, the calculation gives 20.77 states/eV/cell.


Entry from the Alexandria database: a geometry-optimized FeNi2Pd8 structure (PBE).

The structure belongs to space group C2/m (No. 12); the cell edges are 11.6048, 6.6471 and 4.6883 Å and the angles 90.00°, 104.88° and 90.00°. The inequivalent atoms are Fe at (0.0000, 0.0000, 0.0000), Ni at (0.1119, 0.0000, 0.5019), Pd at (0.0669, 0.3004, 0.7838), Pd at (0.1550, 0.5000, 0.3375) and Pd at (0.2209, 0.0000, 0.0818).

For the density of states at the Fermi level, the calculation gives 31.26 states/eV/cell. The relative energy among the computed polymorphs comes out at 276.1 meV/atom.


Entry from the Alexandria database: a geometry-optimized Fe2Ni2Pd structure (PBE).

The structure belongs to space group P4/mbm (No. 127); the cell edges are 6.9339, 6.9339 and 2.6191 Å and the angles 90.00°, 90.00° and 90.00°. The inequivalent atoms are Fe at (0.1238, 0.3762, 0.0000), Ni at (0.1714, 0.6714, 0.5000) and Pd at (0.0000, 0.0000, 0.0000).

For the density of states at the Fermi level, the calculation gives 11.06 states/eV/cell. The relative energy among the computed polymorphs comes out at 79.4 meV/atom.


Entry from the Alexandria database: a geometry-optimized Fe2NiPd8 structure (PBE).

The structure belongs to space group C2/m (No. 12); the cell edges are 13.8356, 3.9427 and 6.1476 Å and the angles 90.00°, 106.28° and 90.00°. The inequivalent atoms are Fe at (0.2233, 0.0000, 0.1481), Ni at (0.0000, 0.5000, 0.5000), Pd at (0.0442, 0.0000, 0.2345), Pd at (0.0981, 0.5000, 0.9562), Pd at (0.1442, 0.0000, 0.6993) and Pd at (0.1790, 0.5000, 0.4152).

For the density of states at the Fermi level, the calculation gives 18.19 states/eV/cell.


Entry from the Alexandria database: a geometry-optimized Fe4Ni3Pd12 structure (PBE).

The structure belongs to space group Im-3 (No. 204); the cell edges are 9.1810, 9.1810 and 9.1810 Å and the angles 90.00°, 90.00° and 90.00°. The inequivalent atoms are Fe at (0.2500, 0.2500, 0.2500), Ni at (0.0000, 0.0000, 0.5000) and Pd at (0.0000, 0.3553, 0.2560).

For the density of states at the Fermi level, the calculation gives 31.63 states/eV/cell.


Entry from the Alexandria database: a geometry-optimized Fe3Ni6Pd structure (PBE).

The structure belongs to space group P2_1/m (No. 11); the cell edges are 6.7560, 4.1295 and 8.8636 Å and the angles 90.00°, 109.23° and 90.00°. The inequivalent atoms are Fe at (0.0953, 0.2500, 0.2272), Fe at (0.2986, 0.2500, 0.0313), Fe at (0.3046, 0.7500, 0.3652), Ni at (0.1036, 0.7500, 0.0668), Ni at (0.1050, 0.2500, 0.7452), Ni at (0.3085, 0.7500, 0.8737), Ni at (0.3143, 0.2500, 0.5347), Ni at (0.4888, 0.2500, 0.3248), Ni at (0.4994, 0.2500, 0.8325) and Pd at (0.1101, 0.7500, 0.5734).

For the density of states at the Fermi level, the calculation gives 20.20 states/eV/cell.


Entry from the Alexandria database: a geometry-optimized Fe6NiPd8 structure (PBE).

The structure belongs to space group P-3 (No. 147); the cell edges are 9.6162, 9.6162 and 2.7477 Å and the angles 90.00°, 90.00° and 120.00°. The inequivalent atoms are Fe at (0.0886, 0.6130, 0.2545), Ni at (0.0000, 0.0000, 0.5000), Pd at (0.0812, 0.2958, 0.2369) and Pd at (0.3333, 0.6667, 0.7551).

For the density of states at the Fermi level, the calculation gives 12.25 states/eV/cell. The relative energy among the computed polymorphs comes out at 27.6 meV/atom.


Entry from the Alexandria database: a geometry-optimized Fe2NiPd7 structure (PBE).

The structure belongs to space group Cmmm (No. 65); the cell edges are 7.2150, 12.6121 and 4.0509 Å and the angles 90.00°, 90.00° and 90.00°. The inequivalent atoms are Fe at (0.0000, 0.1959, 0.0000), Ni at (0.0000, 0.5000, 0.5000), Pd at (0.0000, 0.0000, 0.0000), Pd at (0.0000, 0.2965, 0.5000) and Pd at (0.1877, 0.3903, 0.0000).

For the density of states at the Fermi level, the calculation gives 19.97 states/eV/cell.


Entry from the Alexandria database: a geometry-optimized FeNiPd4 structure (PBE).

The structure belongs to space group C2/m (No. 12); the cell edges are 13.9511, 2.7386 and 4.7899 Å and the angles 90.00°, 109.81° and 90.00°. The inequivalent atoms are Fe at (0.0000, 0.0000, 0.0000), Ni at (0.0000, 0.5000, 0.5000), Pd at (0.1592, 0.5000, 0.3258) and Pd at (0.1597, 0.0000, 0.8261).

For the density of states at the Fermi level, the calculation gives 13.27 states/eV/cell. The relative energy among the computed polymorphs comes out at 0.0 meV/atom.


Entry from the Alexandria database: a geometry-optimized FeNi4Pd structure (PBE).

The structure belongs to space group F-43m (No. 216); the cell edges are 6.6213, 6.6213 and 6.6213 Å and the angles 90.00°, 90.00° and 90.00°. The inequivalent atoms are Fe at (0.0000, 0.0000, 0.0000), Ni at (0.1250, 0.1250, 0.6250) and Pd at (0.2500, 0.2500, 0.2500).

For the density of states at the Fermi level, the calculation gives 31.98 states/eV/cell. The relative energy among the computed polymorphs comes out at 82.1 meV/atom.


Entry from the Alexandria database: a geometry-optimized Fe2Ni2Pd structure (PBE).

The structure belongs to space group I4/mmm (No. 139); the cell edges are 3.4320, 3.4320 and 11.3888 Å and the angles 90.00°, 90.00° and 90.00°. The inequivalent atoms are Fe at (0.0000, 0.0000, 0.1036), Ni at (0.0000, 0.5000, 0.2500) and Pd at (0.0000, 0.0000, 0.5000).

For the density of states at the Fermi level, the calculation gives 8.27 states/eV/cell. The relative energy among the computed polymorphs comes out at 278.5 meV/atom.


Entry from the Alexandria database: a geometry-optimized FeNi2Pd9 structure (PBE).

The structure belongs to space group P4/mmm (No. 123); the cell edges are 3.8782, 3.8782 and 11.6135 Å and the angles 90.00°, 90.00° and 90.00°. The inequivalent atoms are Fe at (0.0000, 0.0000, 0.0000), Ni at (0.0000, 0.0000, 0.3364), Pd at (0.0000, 0.5000, 0.1664), Pd at (0.0000, 0.5000, 0.5000), Pd at (0.5000, 0.5000, 0.0000) and Pd at (0.5000, 0.5000, 0.3331).

For the density of states at the Fermi level, the calculation gives 16.47 states/eV/cell.


Entry from the Alexandria database: a geometry-optimized FeNiPd4 structure (PBE).

The structure belongs to space group P-42c (No. 112); the cell edges are 5.9045, 5.9045 and 5.3406 Å and the angles 90.00°, 90.00° and 90.00°. The inequivalent atoms are Fe at (0.0000, 0.5000, 0.2500), Ni at (0.0000, 0.0000, 0.0000) and Pd at (0.2451, 0.3216, 0.8925).

For the density of states at the Fermi level, the calculation gives 15.19 states/eV/cell. The relative energy among the computed polymorphs comes out at 278.3 meV/atom.


Entry from the Alexandria database: a geometry-optimized Fe3Ni2Pd8 structure (PBE).

The structure belongs to space group P2/m (No. 10); the cell edges are 6.9879, 4.3356 and 7.0358 Å and the angles 90.00°, 107.16° and 90.00°. The inequivalent atoms are Fe at (0.0000, 0.0000, 0.0000), Fe at (0.2533, 0.5000, 0.2551), Ni at (0.2299, 0.0000, 0.7683), Pd at (0.1295, 0.5000, 0.8758), Pd at (0.1467, 0.0000, 0.3965), Pd at (0.3688, 0.5000, 0.6313) and Pd at (0.3957, 0.0000, 0.1453).

For the density of states at the Fermi level, the calculation gives 9.90 states/eV/cell.


Entry from the Alexandria database: a geometry-optimized FeNiPd2 structure (PBE).

The structure belongs to space group Fm-3m (No. 225); the cell edges are 6.0321, 6.0321 and 6.0321 Å and the angles 90.00°, 90.00° and 90.00°. The inequivalent atoms are Fe at (0.0000, 0.0000, 0.0000), Ni at (0.0000, 0.0000, 0.5000) and Pd at (0.2500, 0.2500, 0.2500).

For the density of states at the Fermi level, the calculation gives 11.85 states/eV/cell.


Entry from the Alexandria database: a geometry-optimized FeNi6Pd structure (PBE).

The structure belongs to space group P-6m2 (No. 187); the cell edges are 5.1099, 5.1099 and 4.1295 Å and the angles 90.00°, 90.00° and 120.00°. The inequivalent atoms are Fe at (0.0000, 0.0000, 0.0000), Ni at (0.0092, 0.5046, 0.0000), Ni at (0.1680, 0.3359, 0.5000) and Pd at (0.6667, 0.3333, 0.5000).

For the density of states at the Fermi level, the calculation gives 12.10 states/eV/cell. The relative energy among the computed polymorphs comes out at 27.6 meV/atom.


Computed DFT formation energy (eV per formula unit) in order:
1.51 -0.55 -0.16 -0.49 1.82 -0.67 2.76 0.46 -0.65 9.42 -0.30 1.93 5.03 -0.21 0.28 1.46 -0.17 1.46 1.82 0.02 0.03
Computed electronic total energy (eV per atom) in order:
-6.44 -6.29 -5.99 -6.29 -5.69 -6.48 -5.35 -6.64 -5.90 -5.48 -6.56 -6.41 -5.40 -5.87 -6.08 -6.44 -5.58 -5.59 -5.90 -6.15 -6.04